Here is Th3Co5O12 after structural relaxation from Alexandria. Energies are from PBE+U.

Calculated values
Magnetization   68.1 Bohr magnetons per cell
Energy   -7.5621 eV/atom
Space-group type   Ia-3d, No. 230
Theoretical density   7.63 g/cm³

Lattice parameters (Å, degrees): 11.017 11.017 11.017 109.47 109.47 109.47
Atoms (fractional coordinates):
Th (0.125, 0.250, 0.375)
Th (0.125, 0.375, 0.750)
Th (0.250, 0.375, 0.125)
Th (0.250, 0.875, 0.625)
Th (0.375, 0.125, 0.250)
Th (0.375, 0.750, 0.125)
Th (0.625, 0.250, 0.875)
Th (0.625, 0.875, 0.750)
Th (0.750, 0.125, 0.375)
Th (0.750, 0.625, 0.875)
Th (0.875, 0.625, 0.250)
Th (0.875, 0.750, 0.625)
Co (0.000, 0.000, 0.000)
Co (0.000, 0.000, 0.500)
Co (0.000, 0.500, 0.000)
Co (0.000, 0.500, 0.500)
Co (0.125, 0.750, 0.875)
Co (0.125, 0.875, 0.250)
Co (0.250, 0.125, 0.875)
Co (0.250, 0.625, 0.375)
Co (0.375, 0.250, 0.625)
Co (0.375, 0.625, 0.750)
Co (0.500, 0.000, 0.000)
Co (0.500, 0.000, 0.500)
Co (0.500, 0.500, 0.000)
Co (0.500, 0.500, 0.500)
Co (0.625, 0.375, 0.250)
Co (0.625, 0.750, 0.375)
Co (0.750, 0.375, 0.625)
Co (0.750, 0.875, 0.125)
Co (0.875, 0.125, 0.750)
Co (0.875, 0.250, 0.125)
O (0.034, 0.207, 0.125)
O (0.034, 0.327, 0.909)
O (0.083, 0.707, 0.673)
O (0.083, 0.875, 0.409)
O (0.091, 0.625, 0.417)
O (0.091, 0.966, 0.673)
O (0.125, 0.034, 0.207)
O (0.125, 0.591, 0.917)
O (0.173, 0.207, 0.583)
O (0.173, 0.466, 0.591)
O (0.207, 0.125, 0.034)
O (0.207, 0.583, 0.173)
O (0.293, 0.327, 0.917)
O (0.293, 0.466, 0.375)
O (0.327, 0.909, 0.034)
O (0.327, 0.917, 0.293)
O (0.375, 0.293, 0.466)
O (0.375, 0.583, 0.909)
O (0.409, 0.083, 0.875)
O (0.409, 0.827, 0.534)
O (0.417, 0.091, 0.625)
O (0.417, 0.827, 0.793)
O (0.466, 0.375, 0.293)
O (0.466, 0.591, 0.173)
O (0.534, 0.409, 0.827)
O (0.534, 0.625, 0.707)
O (0.583, 0.173, 0.207)
O (0.583, 0.909, 0.375)
O (0.591, 0.173, 0.466)
O (0.591, 0.917, 0.125)
O (0.625, 0.417, 0.091)
O (0.625, 0.707, 0.534)
O (0.673, 0.083, 0.707)
O (0.673, 0.091, 0.966)
O (0.707, 0.534, 0.625)
O (0.707, 0.673, 0.083)
O (0.793, 0.417, 0.827)
O (0.793, 0.875, 0.966)
O (0.827, 0.534, 0.409)
O (0.827, 0.793, 0.417)
O (0.875, 0.409, 0.083)
O (0.875, 0.966, 0.793)
O (0.909, 0.034, 0.327)
O (0.909, 0.375, 0.583)
O (0.917, 0.125, 0.591)
O (0.917, 0.293, 0.327)
O (0.966, 0.673, 0.091)
O (0.966, 0.793, 0.875)

***

Here is ThCoO4 after structural relaxation from Alexandria. Energies are from PBE+U.

Calculated values
Magnetization   10.0 Bohr magnetons per cell
Energy   -7.6133 eV/atom
Space-group type   I4_1/amd, No. 141
Theoretical density   6.66 g/cm³

Lattice parameters (Å, degrees): 6.145 6.145 6.145 106.53 106.53 115.53
Atoms (fractional coordinates):
Th (0.375, 0.625, 0.750)
Th (0.625, 0.375, 0.250)
Co (0.125, 0.875, 0.250)
Co (0.875, 0.125, 0.750)
O (0.125, 0.693, 0.432)
O (0.240, 0.307, 0.932)
O (0.307, 0.240, 0.432)
O (0.307, 0.875, 0.068)
O (0.693, 0.125, 0.932)
O (0.693, 0.760, 0.568)
O (0.760, 0.693, 0.068)
O (0.875, 0.307, 0.568)